1.
Sr2MnSb after structural relaxation. Source: Alexandria, functional PBE.

```
data_Sr2MnSb
_space_group_name_H-M_alt 'P 1'
_space_group_IT_number 1
_space_group_name_Hall 'P 1'
_cell_length_a 3.874
_cell_length_b 3.874
_cell_length_c 9.123
_cell_angle_alpha 90.00
_cell_angle_beta 90.00
_cell_angle_gamma 90.00
loop_
_atom_site_label
_atom_site_fract_x
_atom_site_fract_y
_atom_site_fract_z
Sr1 0.500 0.500 0.314
Sr2 0.000 0.000 0.933
Mn1 0.000 0.000 0.573
Sb1 0.500 0.500 0.680
```

formation energy (no corrections) = -0.032 eV per atom

2.
SrMnSb after structural relaxation. Source: Alexandria, functional PBE.

```
data_SrMnSb
_space_group_name_H-M_alt 'P 1'
_space_group_IT_number 1
_space_group_name_Hall 'P 1'
_cell_length_a 4.597
_cell_length_b 4.597
_cell_length_c 7.681
_cell_angle_alpha 90.00
_cell_angle_beta 90.00
_cell_angle_gamma 90.00
loop_
_atom_site_label
_atom_site_fract_x
_atom_site_fract_y
_atom_site_fract_z
Mn1 0.000 0.000 0.500
Mn2 0.500 0.500 0.500
Sb1 0.500 0.000 0.710
Sb2 0.000 0.500 0.290
Sr1 0.000 0.500 0.826
Sr2 0.500 0.000 0.174
```

formation energy (no corrections) = -0.395 eV per atom

3.
SrMnSb2 after structural relaxation. Source: Alexandria, functional PBE.

```
data_SrMnSb2
_space_group_name_H-M_alt 'P 1'
_space_group_IT_number 1
_space_group_name_Hall 'P 1'
_cell_length_a 5.367
_cell_length_b 5.367
_cell_length_c 5.367
_cell_angle_alpha 60.00
_cell_angle_beta 60.00
_cell_angle_gamma 60.00
loop_
_atom_site_label
_atom_site_fract_x
_atom_site_fract_y
_atom_site_fract_z
Sr1 0.750 0.750 0.750
Sb1 0.000 0.000 0.000
Sb2 0.250 0.250 0.250
Mn1 0.500 0.500 0.500
```

formation energy (no corrections) = 0.127 eV per atom

4.
SrMnSb after structural relaxation. Source: Alexandria, functional PBE.

```
data_SrMnSb
_space_group_name_H-M_alt 'P 1'
_space_group_IT_number 1
_space_group_name_Hall 'P 1'
_cell_length_a 4.646
_cell_length_b 4.646
_cell_length_c 4.653
_cell_angle_alpha 90.00
_cell_angle_beta 90.00
_cell_angle_gamma 120.00
loop_
_atom_site_label
_atom_site_fract_x
_atom_site_fract_y
_atom_site_fract_z
Sb1 0.667 0.333 0.166
Sr1 0.333 0.667 0.667
Mn1 0.000 0.000 0.167
```

formation energy (no corrections) = -0.356 eV per atom

5.
Sr2MnSb after structural relaxation. Source: Alexandria, functional PBE.

```
data_Sr2MnSb
_space_group_name_H-M_alt 'P 1'
_space_group_IT_number 1
_space_group_name_Hall 'P 1'
_cell_length_a 4.173
_cell_length_b 4.173
_cell_length_c 7.421
_cell_angle_alpha 90.00
_cell_angle_beta 90.00
_cell_angle_gamma 90.06
loop_
_atom_site_label
_atom_site_fract_x
_atom_site_fract_y
_atom_site_fract_z
Mn1 0.500 0.500 0.250
Sr1 0.000 0.000 0.991
Sr2 0.000 0.000 0.509
Sb1 0.500 0.500 0.750
```

formation energy (no corrections) = -0.128 eV per atom

6.
SrMn4Sb12 after structural relaxation. Source: Alexandria, functional PBE.

```
data_SrMn4Sb12
_space_group_name_H-M_alt 'P 1'
_space_group_IT_number 1
_space_group_name_Hall 'P 1'
_cell_length_a 8.110
_cell_length_b 8.110
_cell_length_c 8.110
_cell_angle_alpha 109.47
_cell_angle_beta 109.47
_cell_angle_gamma 109.47
loop_
_atom_site_label
_atom_site_fract_x
_atom_site_fract_y
_atom_site_fract_z
Sb1 0.177 0.840 0.337
Sb2 0.823 0.160 0.663
Sb3 0.160 0.663 0.823
Sb4 0.497 0.160 0.337
Sb5 0.840 0.663 0.503
Sb6 0.337 0.177 0.840
Sb7 0.337 0.497 0.160
Sb8 0.503 0.840 0.663
Sb9 0.840 0.337 0.177
Sb10 0.160 0.337 0.497
Sb11 0.663 0.823 0.160
Sb12 0.663 0.503 0.840
Mn1 0.500 0.500 0.500
Mn2 0.500 0.000 0.000
Mn3 0.000 0.500 0.000
Mn4 0.000 0.000 0.500
Sr1 0.000 0.000 0.000
```

formation energy (no corrections) = -0.117 eV per atom

7.
SrMn4Sb after structural relaxation. Source: Alexandria, functional PBE.

```
data_SrMn4Sb
_space_group_name_H-M_alt 'P 1'
_space_group_IT_number 1
_space_group_name_Hall 'P 1'
_cell_length_a 5.556
_cell_length_b 5.556
_cell_length_c 5.556
_cell_angle_alpha 60.00
_cell_angle_beta 60.00
_cell_angle_gamma 60.00
loop_
_atom_site_label
_atom_site_fract_x
_atom_site_fract_y
_atom_site_fract_z
Mn1 0.879 0.374 0.374
Mn2 0.374 0.374 0.879
Mn3 0.374 0.879 0.374
Mn4 0.374 0.374 0.374
Sb1 0.750 0.750 0.750
Sr1 0.000 0.000 0.000
```

formation energy (no corrections) = 0.439 eV per atom

8.
SrMnSb after structural relaxation. Source: Alexandria, functional PBE.

```
data_SrMnSb
_space_group_name_H-M_alt 'P 1'
_space_group_IT_number 1
_space_group_name_Hall 'P 1'
_cell_length_a 5.264
_cell_length_b 5.264
_cell_length_c 5.264
_cell_angle_alpha 60.00
_cell_angle_beta 60.00
_cell_angle_gamma 60.00
loop_
_atom_site_label
_atom_site_fract_x
_atom_site_fract_y
_atom_site_fract_z
Mn1 0.000 0.000 0.000
Sb1 0.500 0.500 0.500
Sr1 0.750 0.750 0.750
```

formation energy (no corrections) = 0.410 eV per atom